(1)
First-principles (PBE) data for a relaxed CaSiO4 crystal, as listed in the Alexandria database.

Formation energy without anion corrections ... -2120 meV per atom
DOS at the Fermi energy ... 10.0 states/eV/cell
Final energy ... -6.663 eV per atom

Unit cell a=12.649 b=19.899 c=5.944 alpha=90.00 beta=90.00 gamma=90.00
Space group Fdd2 (No. 43)
Inequivalent atoms, fractional coordinates:
Ca 0.076 0.350 0.000 [16 per cell]
Si 0.080 0.446 0.504 [16 per cell]
O 0.000 0.000 0.133 [8 per cell]
O 0.000 0.000 0.629 [8 per cell]
O 0.010 0.398 0.335 [16 per cell]
O 0.089 0.238 0.084 [16 per cell]
O 0.106 0.153 0.436 [16 per cell]

(2)
First-principles (PBE) data for a relaxed Ca3Si2O10 crystal, as listed in the Alexandria database.

Formation energy without anion corrections ... -2247 meV per atom
DOS at the Fermi energy ... 11.0 states/eV/cell
Final energy ... -6.676 eV per atom

Unit cell a=16.226 b=5.477 c=11.865 alpha=90.00 beta=123.72 gamma=90.00
Space group Cc (No. 9)
Inequivalent atoms, fractional coordinates:
Ca 0.000 0.240 0.000 [4 per cell]
Ca 0.286 0.241 0.894 [4 per cell]
Ca 0.393 0.250 0.697 [4 per cell]
Si 0.006 0.301 0.691 [4 per cell]
Si 0.280 0.301 0.204 [4 per cell]
O 0.002 0.392 0.820 [4 per cell]
O 0.105 0.146 0.448 [4 per cell]
O 0.121 0.321 0.731 [4 per cell]
O 0.165 0.321 0.163 [4 per cell]
O 0.180 0.146 0.446 [4 per cell]
O 0.283 0.392 0.075 [4 per cell]
O 0.306 0.014 0.247 [4 per cell]
O 0.358 0.483 0.330 [4 per cell]
O 0.428 0.017 0.064 [4 per cell]
O 0.479 0.485 0.147 [4 per cell]

(3)
First-principles (PBE) data for a relaxed Ca3SiO5 crystal, as listed in the Alexandria database.

Formation energy without anion corrections ... -2992 meV per atom
Relative energy among the computed polymorphs ... 32 meV/atom
DOS at the Fermi energy ... 0.0 states/eV/cell
Final energy ... -7.016 eV per atom

Unit cell a=12.365 b=7.129 c=9.352 alpha=90.00 beta=116.10 gamma=90.00
Space group Cm (No. 8)
Inequivalent atoms, fractional coordinates:
Ca 0.000 0.000 0.000 [2 per cell]
Ca 0.072 0.239 0.341 [4 per cell]
Ca 0.084 0.500 0.654 [2 per cell]
Ca 0.292 0.259 0.047 [4 per cell]
Ca 0.318 0.255 0.685 [4 per cell]
Ca 0.342 0.500 0.371 [2 per cell]
Si 0.028 0.500 0.999 [2 per cell]
Si 0.104 0.000 0.704 [2 per cell]
Si 0.306 0.000 0.334 [2 per cell]
O 0.110 0.191 0.608 [4 per cell]
O 0.177 0.500 0.089 [2 per cell]
O 0.201 0.000 0.150 [2 per cell]
O 0.201 0.500 0.473 [2 per cell]
O 0.230 0.000 0.869 [2 per cell]
O 0.245 0.000 0.461 [2 per cell]
O 0.286 0.500 0.841 [2 per cell]
O 0.389 0.187 0.357 [4 per cell]
O 0.444 0.500 0.212 [2 per cell]
O 0.472 0.000 0.800 [2 per cell]
O 0.476 0.500 0.724 [2 per cell]
O 0.480 0.188 0.055 [4 per cell]